No. 1
An optimized crystal structure of NaBPb2S4, computed with PBE-GGA.

Cell lengths 7.522, 7.522, 14.176 Å; angles 131.62, 131.62, 74.63 degrees
Sites, in units of the cell vectors:
S1 0.207 0.845 0.028
S2 0.655 0.293 0.472
S3 0.567 0.563 0.253
S4 0.433 0.437 0.747
S5 0.345 0.707 0.528
S6 0.937 0.933 0.247
S7 0.063 0.067 0.753
S8 0.793 0.155 0.972
B1 0.500 0.500 0.500
B2 0.000 0.000 0.000
Pb1 0.500 0.000 0.000
Pb2 0.500 0.000 0.500
Pb3 0.500 0.500 0.000
Pb4 0.000 0.000 0.500
Na1 0.000 0.500 0.500
Na2 0.000 0.500 0.000

Summary:
**Formation energy without anion corrections**: -0.4094 eV/atom
**Space group**: No. 15


No. 2
An optimized crystal structure of ErHfRh4, computed with PBE-GGA.

Cell lengths 5.252, 5.252, 5.252 Å; angles 60.00, 60.00, 60.00 degrees
Sites, in units of the cell vectors:
Rh1 0.625 0.625 0.625
Rh2 0.625 0.625 0.125
Rh3 0.625 0.125 0.625
Rh4 0.125 0.625 0.625
Hf1 0.000 0.000 0.000
Er1 0.250 0.250 0.250

Summary:
**Polymorph energy (0 for the lowest one)**: 0.000 eV per atom
**DOS at the Fermi energy**: 3.2 states/eV/f.u.
**Space group**: No. 216
**Formation enthalpy at 0 K**: -0.658 eV/atom


No. 3
An optimized crystal structure of Ni8AsP2, computed with PBE-GGA.

Cell lengths 3.592, 6.386, 6.563 Å; angles 119.11, 105.88, 90.00 degrees
Sites, in units of the cell vectors:
Ni1 0.000 0.309 0.000
Ni2 0.000 0.691 0.000
Ni3 0.332 0.547 0.663
Ni4 0.332 0.116 0.663
Ni5 0.668 0.453 0.337
Ni6 0.859 0.859 0.718
Ni7 0.668 0.884 0.337
Ni8 0.141 0.141 0.282
As1 0.500 0.000 0.000
P1 0.179 0.679 0.358
P2 0.821 0.321 0.642

Summary:
**DOS at the Fermi energy**: 8.8 states/eV/f.u.
**Space group**: No. 71
**Formation enthalpy at 0 K**: -0.312 eV/atom


No. 4
An optimized crystal structure of Te2MoAu, computed with PBE-GGA.

Cell lengths 5.020, 5.020, 5.020 Å; angles 60.00, 60.00, 60.00 degrees
Site moments in Bohr magnetons follow the coordinates.
Sites, in units of the cell vectors:
Au1 0.500 0.500 0.500  0.02
Mo1 0.750 0.750 0.750  2.05
Te1 0.000 0.000 0.000  -0.12
Te2 0.250 0.250 0.250  -0.08

Summary:
**Polymorph energy (0 for the lowest one)**: 0.663 eV per atom
**Formation energy without anion corrections**: 0.7635 eV/atom
**DOS at the Fermi energy**: 3.0 states/eV/f.u.
**Space group**: No. 216


No. 5
An optimized crystal structure of Tl2AgRhCl6, computed with PBE-GGA.

Cell lengths 7.131, 7.136, 10.086 Å; angles 90.00, 90.00, 90.00 degrees
Sites, in units of the cell vectors:
Cl1 0.264 0.484 0.500
Cl2 0.264 0.013 0.500
Cl3 0.764 0.516 0.000
Cl4 0.236 0.516 0.000
Cl5 0.736 0.484 0.500
Cl6 0.000 0.753 0.764
Cl7 0.500 0.247 0.264
Cl8 0.236 0.987 0.000
Cl9 0.500 0.247 0.736
Cl10 0.736 0.013 0.500
Cl11 0.000 0.753 0.236
Cl12 0.764 0.987 0.000
Tl1 0.500 0.752 0.249
Tl2 0.000 0.248 0.251
Tl3 0.000 0.248 0.749
Tl4 0.500 0.752 0.751
Rh1 0.000 0.752 0.000
Rh2 0.500 0.248 0.500
Ag1 0.500 0.253 0.000
Ag2 0.000 0.747 0.500

Summary:
**Formation energy without anion corrections**: -0.7267 eV/atom
**Space group**: No. 59


No. 6
An optimized crystal structure of CdSi2Rh, computed with PBE-GGA.

Cell lengths 4.199, 3.439, 4.927 Å; angles 70.97, 90.00, 90.00 degrees
Sites, in units of the cell vectors:
Si1 0.000 0.808 0.021
Si2 0.500 0.243 0.156
Rh1 0.500 0.927 0.766
Cd1 0.000 0.521 0.558

Summary:
**Formation energy without anion corrections**: -0.0414 eV/atom
**DOS at the Fermi energy**: 1.4 states/eV/f.u.
**Space group**: No. 6


No. 7
An optimized crystal structure of Cs2Rb14Au9, computed with PBE-GGA.

Cell lengths 10.479, 10.479, 13.792 Å; angles 90.00, 90.00, 120.00 degrees
Sites, in units of the cell vectors:
Au1 0.279 0.946 0.352
Au2 0.333 0.667 0.019
Au3 0.333 0.279 0.648
Au4 0.946 0.667 0.648
Au5 0.000 0.000 0.000
Au6 0.667 0.721 0.352
Au7 0.667 0.333 0.981
Au8 0.054 0.333 0.352
Au9 0.721 0.054 0.648
Rb1 0.035 0.676 0.903
Rb2 0.679 0.078 0.395
Rb3 0.078 0.399 0.605
Rb4 0.965 0.324 0.097
Rb5 0.324 0.359 0.903
Rb6 0.000 0.000 0.260
Rb7 0.399 0.321 0.395
Rb8 0.641 0.965 0.903
Rb9 0.000 0.000 0.740
Rb10 0.601 0.679 0.605
Rb11 0.676 0.641 0.097
Rb12 0.922 0.601 0.395
Rb13 0.359 0.035 0.097
Rb14 0.321 0.922 0.605
Cs1 0.333 0.667 0.270
Cs2 0.667 0.333 0.730

Summary:
**DOS at the Fermi energy**: 23.1 states/eV/f.u.
**Space group**: No. 147
**Formation enthalpy at 0 K**: -0.184 eV/atom


No. 8
An optimized crystal structure of ScBeGe, computed with PBE-GGA.

Cell lengths 4.392, 4.392, 5.390 Å; angles 90.00, 90.00, 106.20 degrees
Sites, in units of the cell vectors:
Be1 0.000 0.000 0.500
Be2 0.000 0.000 0.000
Ge1 0.263 0.737 0.750
Ge2 0.737 0.263 0.250
Sc1 0.346 0.654 0.250
Sc2 0.654 0.346 0.750

Summary:
**DOS at the Fermi energy**: 2.2 states/eV/f.u.
**Space group**: No. 63
**Formation enthalpy at 0 K**: -0.199 eV/atom


Spin magnetization for the records above, in order: 0.0; 0.0; 0.0; 2.1; 0.0; 0.0; 0.0; 0.0 μB per formula unit
V for the records above, in order: 425; 102; 125; 89; 513; 67; 1312; 100 Å³/cell